VP4O12: relaxed, PBEsol.

Unit cell a=8.126 b=9.054 c=12.960 alpha=90.00 beta=90.00 gamma=90.00
Each line ends with the local moment (μB).
Fractional coordinates of all 68 atoms:
O 0.524 0.643 0.067  -0.01
O 0.582 0.122 0.627  0.00
O 0.650 0.107 0.888  0.00
O 0.630 0.962 0.181  0.00
O 0.524 0.857 0.933  -0.01
O 0.918 0.878 0.127  0.00
O 0.874 0.408 0.744  0.00
O 0.024 0.643 0.433  -0.01
O 0.850 0.607 0.612  0.00
O 0.870 0.038 0.681  0.00
O 0.650 0.393 0.112  0.00
O 0.130 0.538 0.681  0.00
O 0.299 0.365 0.574  -0.01
O 0.874 0.092 0.256  0.00
O 0.370 0.038 0.819  0.00
O 0.701 0.865 0.574  -0.01
O 0.976 0.143 0.433  -0.01
O 0.201 0.635 0.074  -0.01
O 0.918 0.622 0.873  0.00
O 0.350 0.893 0.112  0.00
O 0.582 0.378 0.373  0.00
O 0.082 0.378 0.127  0.00
O 0.201 0.865 0.926  -0.01
O 0.630 0.538 0.819  0.00
O 0.418 0.878 0.373  0.00
O 0.799 0.365 0.926  -0.01
O 0.850 0.893 0.388  0.00
O 0.626 0.592 0.244  0.00
O 0.374 0.092 0.244  0.00
O 0.870 0.462 0.319  0.00
O 0.024 0.857 0.567  -0.01
O 0.799 0.135 0.074  -0.01
O 0.976 0.357 0.567  -0.01
O 0.701 0.635 0.426  -0.01
O 0.126 0.592 0.256  0.00
O 0.350 0.607 0.888  0.00
O 0.418 0.622 0.627  0.00
O 0.150 0.393 0.388  0.00
O 0.626 0.908 0.756  0.00
O 0.299 0.135 0.426  -0.01
O 0.082 0.122 0.873  0.00
O 0.374 0.408 0.756  0.00
O 0.370 0.462 0.181  0.00
O 0.126 0.908 0.744  0.00
O 0.130 0.962 0.319  0.00
O 0.150 0.107 0.612  0.00
O 0.476 0.357 0.933  -0.01
O 0.476 0.143 0.067  -0.01
V 0.654 0.250 0.000  0.97
V 0.154 0.250 0.500  0.97
V 0.346 0.750 0.000  0.97
V 0.846 0.750 0.500  0.97
P 0.683 0.507 0.349  0.00
P 0.545 0.521 0.145  0.00
P 0.317 0.007 0.349  0.00
P 0.817 0.493 0.849  0.00
P 0.183 0.507 0.151  0.00
P 0.045 0.521 0.355  0.00
P 0.455 0.021 0.145  0.00
P 0.545 0.979 0.855  0.00
P 0.045 0.979 0.645  0.00
P 0.317 0.493 0.651  0.00
P 0.683 0.993 0.651  0.00
P 0.955 0.021 0.355  0.00
P 0.183 0.993 0.849  0.00
P 0.817 0.007 0.151  0.00
P 0.955 0.479 0.645  0.00
P 0.455 0.479 0.855  0.00

Output
The energy above the most stable polymorph in this dataset is 0.0 meV/atom.